24
Lattice="7.665 -0.034 0.005 -1.487 7.519 0.005 0.128 0.155 5.083" Properties=species:S:1:pos:R:3 comment="InCuW2O8 (GGA+U, relaxed)" final_energy_ev_per_atom=-6.747 crystal_system=monoclinic pbc="T T T"
W 2.393 1.328 1.242
W 5.391 4.962 1.309
W 3.913 6.312 3.851
W 0.915 2.679 3.783
O 6.916 2.428 4.567
O 4.075 1.471 0.486
O 5.845 6.080 2.896
O 1.752 3.066 0.284
O 2.231 6.170 4.607
O 5.298 0.468 3.067
O 3.564 5.262 2.267
O 1.509 0.826 4.738
O 4.797 6.815 0.355
O 0.461 1.561 2.196
O 5.570 3.284 2.066
O 1.008 7.173 2.026
O -0.610 5.213 0.525
O 0.736 4.357 3.027
O 4.554 4.575 4.808
O 2.742 2.379 2.825
In 0.133 6.379 3.817
In 6.173 1.262 1.276
Cu 4.628 2.668 3.817
Cu 1.678 4.973 1.276